Material: MnB2O4
Method: DFT, PBE with a Hubbard U
State: optimized geometry

## Properties
For the polymorph energy (0 for the lowest one), the calculation gives 331.4 meV per atom. The total magnetization is 3.00 μB/f.u. As for the volume: 74 Å³ per cell.

Cell lengths 4.725, 4.725, 4.725 Å; angles 100.95, 100.95, 128.33 degrees
Positions (direct):
Mn 0.000 0.000 0.000
B 0.250 0.750 0.500
B 0.750 0.250 0.500
O 0.036 0.326 0.361
O 0.326 0.964 0.290
O 0.674 0.036 0.710
O 0.964 0.674 0.639